Below is an optimized crystal structure of Sm2PbO, with properties calculated at the PBE-GGA level.

Unit cell a=3.2468 b=3.2468 c=7.9960 alpha=90.00 beta=90.00 gamma=90.00
Last column: nearest neighbours and their distance in Å.
Positions (direct):
Sm1 0.0000 0.0000 0.1950  4 O 2.78
Sm2 0.0000 0.0000 0.8050  4 O 2.78
Pb1 0.5000 0.5000 0.5000  4 Pb 3.25, 8 Sm 3.35
O1 0.5000 0.5000 0.0000  8 Sm 2.78

The size of the total moment comes out at 0.00 Bohr magnetons per cell. As for the energy above the most stable polymorph in this dataset: 2.45 eV per formula unit. Its space group is P4/mmm, No. 123.


Below is an optimized crystal structure of Sm12Pb3O5, with properties calculated at the PBE-GGA level.

Unit cell a=13.9012 b=13.9012 c=13.9012 alpha=109.47 beta=109.47 gamma=109.47
Last column: nearest neighbours and their distance in Å.
Positions (direct):
Sm1 0.0076 0.1953 0.1065  1 O 2.27
Sm2 0.0076 0.3123 0.9011  1 O 2.27
Sm3 0.0888 0.6953 0.6877  1 O 2.27
Sm4 0.0888 0.8935 0.4011  1 O 2.27
Sm5 0.0989 0.6065 0.4112  1 O 2.27
Sm6 0.0989 0.9924 0.6877  1 O 2.27
Sm7 0.1065 0.0076 0.1953  1 O 2.27
Sm8 0.1065 0.5989 0.9112  1 O 2.27
Sm9 0.1877 0.1953 0.5888  1 O 2.27
Sm10 0.1877 0.4924 0.5989  1 O 2.27
Sm11 0.1953 0.1065 0.0076  1 O 2.27
Sm12 0.1953 0.5888 0.1877  1 O 2.27
Sm13 0.3047 0.3123 0.9112  1 O 2.27
Sm14 0.3047 0.4924 0.3935  1 O 2.27
Sm15 0.3123 0.9011 0.0076  1 O 2.27
Sm16 0.3123 0.9112 0.3047  1 O 2.27
Sm17 0.3935 0.3047 0.4924  1 O 2.27
Sm18 0.3935 0.5888 0.9011  1 O 2.27
Sm19 0.4011 0.0888 0.8935  1 O 2.27
Sm20 0.4011 0.8123 0.5076  1 O 2.27
Sm21 0.4112 0.0989 0.6065  1 O 2.27
Sm22 0.4112 0.8123 0.8047  1 O 2.27
Sm23 0.4924 0.3935 0.3047  1 O 2.27
Sm24 0.4924 0.5989 0.1877  1 O 2.27
Sm25 0.5076 0.4011 0.8123  1 O 2.27
Sm26 0.5076 0.6065 0.6953  1 O 2.27
Sm27 0.5888 0.1877 0.1953  1 O 2.27
Sm28 0.5888 0.9011 0.3935  1 O 2.27
Sm29 0.5989 0.1877 0.4924  1 O 2.27
Sm30 0.5989 0.9112 0.1065  1 O 2.27
Sm31 0.6065 0.4112 0.0989  1 O 2.27
Sm32 0.6065 0.6953 0.5076  1 O 2.27
Sm33 0.6877 0.0888 0.6953  1 O 2.27
Sm34 0.6877 0.0989 0.9924  1 O 2.27
Sm35 0.6953 0.5076 0.6065  1 O 2.27
Sm36 0.6953 0.6877 0.0888  1 O 2.27
Sm37 0.8047 0.4112 0.8123  1 O 2.27
Sm38 0.8047 0.8935 0.9924  1 O 2.27
Sm39 0.8123 0.5076 0.4011  1 O 2.27
Sm40 0.8123 0.8047 0.4112  1 O 2.27
Sm41 0.8935 0.4011 0.0888  1 O 2.27
Sm42 0.8935 0.9924 0.8047  1 O 2.27
Sm43 0.9011 0.0076 0.3123  1 O 2.27
Sm44 0.9011 0.3935 0.5888  1 O 2.27
Sm45 0.9112 0.1065 0.5989  1 O 2.27
Sm46 0.9112 0.3047 0.3123  1 O 2.27
Sm47 0.9924 0.6877 0.0989  1 O 2.27
Sm48 0.9924 0.8047 0.8935  1 O 2.27
Pb1 0.1250 0.2500 0.3750  8 Sm 3.22-3.32
Pb2 0.1250 0.3750 0.7500  8 Sm 3.22-3.32
Pb3 0.2500 0.3750 0.1250  8 Sm 3.22-3.32
Pb4 0.2500 0.8750 0.6250  8 Sm 3.22-3.32
Pb5 0.3750 0.1250 0.2500  8 Sm 3.22-3.32
Pb6 0.3750 0.7500 0.1250  8 Sm 3.22-3.32
Pb7 0.6250 0.2500 0.8750  8 Sm 3.22-3.32
Pb8 0.6250 0.8750 0.7500  8 Sm 3.22-3.32
Pb9 0.7500 0.1250 0.3750  8 Sm 3.22-3.32
Pb10 0.7500 0.6250 0.8750  8 Sm 3.22-3.32
Pb11 0.8750 0.6250 0.2500  8 Sm 3.22-3.32
Pb12 0.8750 0.7500 0.6250  8 Sm 3.22-3.32
O1 0.0000 0.0000 0.0000  6 Sm 2.57
O2 0.0000 0.0000 0.5000  6 Sm 2.57
O3 0.0000 0.5000 0.0000  6 Sm 2.57
O4 0.0000 0.5000 0.5000  6 Sm 2.57
O5 0.1250 0.7500 0.8750  4 Sm 2.27
O6 0.1250 0.8750 0.2500  4 Sm 2.27
O7 0.2500 0.1250 0.8750  4 Sm 2.27
O8 0.2500 0.6250 0.3750  4 Sm 2.27
O9 0.3750 0.2500 0.6250  4 Sm 2.27
O10 0.3750 0.6250 0.7500  4 Sm 2.27
O11 0.5000 0.0000 0.0000  6 Sm 2.57
O12 0.5000 0.0000 0.5000  6 Sm 2.57
O13 0.5000 0.5000 0.0000  6 Sm 2.57
O14 0.5000 0.5000 0.5000  6 Sm 2.57
O15 0.6250 0.3750 0.2500  4 Sm 2.27
O16 0.6250 0.7500 0.3750  4 Sm 2.27
O17 0.7500 0.3750 0.6250  4 Sm 2.27
O18 0.7500 0.8750 0.1250  4 Sm 2.27
O19 0.8750 0.1250 0.7500  4 Sm 2.27
O20 0.8750 0.2500 0.1250  4 Sm 2.27

The size of the total moment comes out at 6.09 Bohr magnetons per cell. Its space group is Ia-3d, No. 230.


Below is an optimized crystal structure of Sm3Pb5O12, with properties calculated at the PBE-GGA level.

Unit cell a=11.9693 b=11.9693 c=11.9693 alpha=109.47 beta=109.47 gamma=109.47
Last column: nearest neighbours and their distance in Å.
Positions (direct):
Sm1 0.1250 0.2500 0.3750  8 O 2.55
Sm2 0.1250 0.3750 0.7500  8 O 2.55
Sm3 0.2500 0.3750 0.1250  8 O 2.55
Sm4 0.2500 0.8750 0.6250  8 O 2.55
Sm5 0.3750 0.1250 0.2500  8 O 2.55
Sm6 0.3750 0.7500 0.1250  8 O 2.55
Sm7 0.6250 0.2500 0.8750  8 O 2.55
Sm8 0.6250 0.8750 0.7500  8 O 2.55
Sm9 0.7500 0.1250 0.3750  8 O 2.55
Sm10 0.7500 0.6250 0.8750  8 O 2.55
Sm11 0.8750 0.6250 0.2500  8 O 2.55
Sm12 0.8750 0.7500 0.6250  8 O 2.55
Pb1 0.0000 0.0000 0.0000  6 O 2.31
Pb2 0.0000 0.0000 0.5000  6 O 2.31
Pb3 0.0000 0.5000 0.0000  6 O 2.31
Pb4 0.0000 0.5000 0.5000  6 O 2.31
Pb5 0.1250 0.7500 0.8750  4 O 2.24
Pb6 0.1250 0.8750 0.2500  4 O 2.24
Pb7 0.2500 0.1250 0.8750  4 O 2.24
Pb8 0.2500 0.6250 0.3750  4 O 2.24
Pb9 0.3750 0.2500 0.6250  4 O 2.24
Pb10 0.3750 0.6250 0.7500  4 O 2.24
Pb11 0.5000 0.0000 0.0000  6 O 2.31
Pb12 0.5000 0.0000 0.5000  6 O 2.31
Pb13 0.5000 0.5000 0.0000  6 O 2.31
Pb14 0.5000 0.5000 0.5000  6 O 2.31
Pb15 0.6250 0.3750 0.2500  4 O 2.24
Pb16 0.6250 0.7500 0.3750  4 O 2.24
Pb17 0.7500 0.3750 0.6250  4 O 2.24
Pb18 0.7500 0.8750 0.1250  4 O 2.24
Pb19 0.8750 0.1250 0.7500  4 O 2.24
Pb20 0.8750 0.2500 0.1250  4 O 2.24
O1 0.0522 0.2200 0.1359  2 Pb 2.24-2.31
O2 0.0522 0.3323 0.9164  2 Pb 2.24-2.31
O3 0.0836 0.6359 0.4159  2 Pb 2.24-2.31
O4 0.0841 0.7200 0.6677  2 Pb 2.24-2.31
O5 0.0841 0.8641 0.4164  2 Pb 2.24-2.31
O6 0.0836 0.9478 0.6677  2 Pb 2.24-2.31
O7 0.1359 0.0522 0.2200  2 Pb 2.24-2.31
O8 0.1359 0.5836 0.9159  2 Pb 2.24-2.31
O9 0.1677 0.2200 0.5841  2 Pb 2.24-2.31
O10 0.1677 0.4478 0.5836  2 Pb 2.24-2.31
O11 0.2200 0.1359 0.0522  2 Pb 2.24-2.31
O12 0.2200 0.5841 0.1677  2 Pb 2.24-2.31
O13 0.2800 0.3323 0.9159  2 Pb 2.24-2.31
O14 0.2800 0.4478 0.3641  2 Pb 2.24-2.31
O15 0.3323 0.9164 0.0522  2 Pb 2.24-2.31
O16 0.3323 0.9159 0.2800  2 Pb 2.24-2.31
O17 0.3641 0.2800 0.4478  2 Pb 2.24-2.31
O18 0.3641 0.5841 0.9164  2 Pb 2.24-2.31
O19 0.4159 0.0836 0.6359  2 Pb 2.24-2.31
O20 0.4164 0.0841 0.8641  2 Pb 2.24-2.31
O21 0.4164 0.8323 0.5522  2 Pb 2.24-2.31
O22 0.4159 0.8323 0.7800  2 Pb 2.24-2.31
O23 0.4478 0.3641 0.2800  2 Pb 2.24-2.31
O24 0.4478 0.5836 0.1677  2 Pb 2.24-2.31
O25 0.5522 0.4164 0.8323  2 Pb 2.24-2.31
O26 0.5522 0.6359 0.7200  2 Pb 2.24-2.31
O27 0.5841 0.1677 0.2200  2 Pb 2.24-2.31
O28 0.5836 0.1677 0.4478  2 Pb 2.24-2.31
O29 0.5836 0.9159 0.1359  2 Pb 2.24-2.31
O30 0.5841 0.9164 0.3641  2 Pb 2.24-2.31
O31 0.6359 0.4159 0.0836  2 Pb 2.24-2.31
O32 0.6359 0.7200 0.5522  2 Pb 2.24-2.31
O33 0.6677 0.0841 0.7200  2 Pb 2.24-2.31
O34 0.6677 0.0836 0.9478  2 Pb 2.24-2.31
O35 0.7200 0.5522 0.6359  2 Pb 2.24-2.31
O36 0.7200 0.6677 0.0841  2 Pb 2.24-2.31
O37 0.7800 0.4159 0.8323  2 Pb 2.24-2.31
O38 0.7800 0.8641 0.9478  2 Pb 2.24-2.31
O39 0.8323 0.5522 0.4164  2 Pb 2.24-2.31
O40 0.8323 0.7800 0.4159  2 Pb 2.24-2.31
O41 0.8641 0.4164 0.0841  2 Pb 2.24-2.31
O42 0.8641 0.9478 0.7800  2 Pb 2.24-2.31
O43 0.9164 0.0522 0.3323  2 Pb 2.24-2.31
O44 0.9159 0.1359 0.5836  2 Pb 2.24-2.31
O45 0.9159 0.2800 0.3323  2 Pb 2.24-2.31
O46 0.9164 0.3641 0.5841  2 Pb 2.24-2.31
O47 0.9478 0.6677 0.0836  2 Pb 2.24-2.31
O48 0.9478 0.7800 0.8641  2 Pb 2.24-2.31

The size of the total moment comes out at 0.00 Bohr magnetons per cell. Its space group is Ia-3d, No. 230.


Below is an optimized crystal structure of Sm2PbO, with properties calculated at the PBE-GGA level.

Unit cell a=8.1247 b=8.1247 c=8.1247 alpha=26.11 beta=26.11 gamma=26.11
Last column: nearest neighbours and their distance in Å.
Positions (direct):
Sm1 0.2228 0.2228 0.2228  3 O 2.50
Sm2 0.7772 0.7772 0.7772  3 O 2.50
Pb1 0.0000 0.0000 0.0000  6 Sm 3.35, 6 Pb 3.67
O1 0.5000 0.5000 0.5000  6 Sm 2.50

The size of the total moment comes out at 0.00 Bohr magnetons per cell. As for the energy above the most stable polymorph in this dataset: 0.73 eV per formula unit. Its space group is R-3m, No. 166.


Below is an optimized crystal structure of Sm2Pb2O7, with properties calculated at the PBE-GGA level.

Unit cell a=7.4469 b=7.0715 c=12.9835 alpha=90.00 beta=102.77 gamma=90.00
Last column: nearest neighbours and their distance in Å.
Positions (direct):
Sm1 0.0328 0.0926 0.3507  7 O 2.32-2.53
Sm2 0.0328 0.4074 0.8507  7 O 2.32-2.53
Sm3 0.2124 0.1857 0.1099  6 O 2.32-2.49
Sm4 0.2124 0.3143 0.6099  6 O 2.32-2.49
Sm5 0.7876 0.6857 0.3901  6 O 2.32-2.49
Sm6 0.7876 0.8143 0.8901  6 O 2.32-2.49
Sm7 0.9672 0.5926 0.1493  7 O 2.32-2.53
Sm8 0.9672 0.9074 0.6493  7 O 2.32-2.53
Pb1 0.2985 0.5873 0.3941  5 O 2.15-2.35
Pb2 0.2985 0.9127 0.8941  5 O 2.15-2.35
Pb3 0.4414 0.6140 0.1099  5 O 2.08-2.27
Pb4 0.4414 0.8860 0.6099  5 O 2.08-2.27
Pb5 0.5586 0.1140 0.3901  5 O 2.08-2.27
Pb6 0.5586 0.3860 0.8901  5 O 2.08-2.27
Pb7 0.7015 0.0873 0.1059  5 O 2.15-2.35
Pb8 0.7015 0.4127 0.6059  5 O 2.15-2.35
O1 0.0483 0.7433 0.8271  1 Pb 2.22, 2 Sm 2.32-2.40
O2 0.0483 0.7567 0.3271  1 Pb 2.22, 2 Sm 2.32-2.40
O3 0.1005 0.1130 0.9292  1 Pb 2.16, 2 Sm 2.32-2.37
O4 0.1005 0.3870 0.4292  1 Pb 2.16, 2 Sm 2.32-2.37
O5 0.1750 0.5028 0.0301  1 Pb 2.17, 1 Sm 2.43
O6 0.1750 0.9972 0.5301  1 Pb 2.17, 1 Sm 2.43
O7 0.2837 0.5293 0.2301  2 Pb 2.15-2.23, 1 Sm 2.40
O8 0.2837 0.9707 0.7301  2 Pb 2.15-2.23, 1 Sm 2.40
O9 0.3008 0.1125 0.2883  1 Pb 2.08, 2 Sm 2.32
O10 0.3008 0.3875 0.7883  1 Pb 2.08, 2 Sm 2.32
O11 0.3981 0.5794 0.5788  2 Pb 2.22-2.35, 1 Sm 2.42
O12 0.3981 0.9206 0.0788  2 Pb 2.22-2.35, 1 Sm 2.42
O13 0.4959 0.1863 0.5635  3 Pb 2.20-2.45
O14 0.4959 0.3137 0.0635  3 Pb 2.20-2.45
O15 0.5041 0.6863 0.9365  3 Pb 2.20-2.45
O16 0.5041 0.8137 0.4365  3 Pb 2.20-2.45
O17 0.6019 0.0794 0.9212  2 Pb 2.22-2.35, 1 Sm 2.42
O18 0.6019 0.4206 0.4212  2 Pb 2.22-2.35, 1 Sm 2.42
O19 0.6992 0.6125 0.2117  1 Pb 2.08, 2 Sm 2.32
O20 0.6992 0.8875 0.7117  1 Pb 2.08, 2 Sm 2.32
O21 0.7163 0.0293 0.2699  2 Pb 2.15-2.23, 1 Sm 2.40
O22 0.7163 0.4707 0.7699  2 Pb 2.15-2.23, 1 Sm 2.40
O23 0.8250 0.0028 0.4699  1 Pb 2.17, 1 Sm 2.43
O24 0.8250 0.4972 0.9699  1 Pb 2.17, 1 Sm 2.43
O25 0.8995 0.6130 0.5708  1 Pb 2.16, 2 Sm 2.32-2.37
O26 0.8995 0.8870 0.0708  1 Pb 2.16, 2 Sm 2.32-2.37
O27 0.9517 0.2433 0.6729  1 Pb 2.22, 2 Sm 2.32-2.40
O28 0.9517 0.2567 0.1729  1 Pb 2.22, 2 Sm 2.32-2.40

The size of the total moment comes out at 0.00 Bohr magnetons per cell. As for the energy above the most stable polymorph in this dataset: 1.04 eV per formula unit. Its space group is P2_1/c, No. 14.


Below is an optimized crystal structure of Sm2PbO, with properties calculated at the PBE-GGA level.

Unit cell a=7.0112 b=4.5802 c=11.9313 alpha=90.00 beta=90.00 gamma=90.00
Last column: nearest neighbours and their distance in Å.
Positions (direct):
Sm1 0.1096 0.2500 0.2418  1 O 2.31
Sm2 0.1567 0.2500 0.5500  3 O 2.43-2.47
Sm3 0.3433 0.7500 0.0500  3 O 2.43-2.47
Sm4 0.3904 0.7500 0.7418  1 O 2.31
Sm5 0.6096 0.2500 0.2582  1 O 2.31
Sm6 0.6567 0.2500 0.9500  3 O 2.43-2.47
Sm7 0.8433 0.7500 0.4500  3 O 2.43-2.47
Sm8 0.8904 0.7500 0.7582  1 O 2.31
Pb1 0.1356 0.2500 0.8709  7 Sm 3.16-3.49, 1 O 3.38
Pb2 0.3644 0.7500 0.3709  7 Sm 3.16-3.49, 1 O 3.38
Pb3 0.6356 0.2500 0.6291  7 Sm 3.16-3.49, 1 O 3.38
Pb4 0.8644 0.7500 0.1291  7 Sm 3.16-3.49, 1 O 3.38
O1 0.0835 0.7500 0.6014  4 Sm 2.31-2.47
O2 0.4165 0.2500 0.1014  4 Sm 2.31-2.47
O3 0.5835 0.7500 0.8986  4 Sm 2.31-2.47
O4 0.9165 0.2500 0.3986  4 Sm 2.31-2.47

The size of the total moment comes out at 0.00 Bohr magnetons per cell. As for the energy above the most stable polymorph in this dataset: 0.35 eV per formula unit. Its space group is Pnma, No. 62.


Number 1: formation energy without anion corrections -1.150 eV/atom. Number 2: formation energy without anion corrections -1.539 eV/atom. Number 3: formation energy without anion corrections -1.724 eV/atom. Number 4: formation energy without anion corrections -1.582 eV/atom. Number 5: formation energy without anion corrections -1.997 eV/atom. Number 6: formation energy without anion corrections -1.675 eV/atom.